Here is crystalline MgCdAg2 at its relaxed geometry from the Open Quantum Materials Database. Energies are from PBE.

a = 4.732 Å, b = 4.732 Å, c = 8.465 Å
α = 90.00°, β = 90.00°, γ = 120.00°
Element x y z (fractional)
Cd1 0.000 0.000 0.000
Cd2 0.000 0.000 0.500
Ag1 0.667 0.333 0.086
Ag2 0.333 0.667 0.586
Ag3 0.667 0.333 0.414
Ag4 0.333 0.667 0.914
Mg1 0.333 0.667 0.250
Mg2 0.667 0.333 0.750

Properties
E_tot: -2.140 eV per atom
ρ: 7.132 g cm⁻³